# Pu2GeH2 (PBE-GGA, relaxed)
data_Pu2GeH2
_space_group_name_H-M_alt 'C m m m'
_space_group_IT_number 65
_space_group_name_Hall '-C 2 2'
_cell_length_a 3.4694
_cell_length_b 14.2919
_cell_length_c 2.9809
_cell_angle_alpha 90.00
_cell_angle_beta 90.00
_cell_angle_gamma 90.00
loop_
_atom_site_label
_atom_site_type_symbol
_atom_site_fract_x
_atom_site_fract_y
_atom_site_fract_z
Pu1 Pu 0.0000 0.1452 0.0000
Ge1 Ge 0.0000 0.5000 0.5000
H1 H 0.0000 0.2927 0.5000
# Total energy   -8.31 eV/atom
# Calculated density   12.643 g cm⁻³